[1]
! Li2TbY2In2, optimized geometry, DFT PBE; values from VASP
! calculated formation energy	-0.240	eV/atom
! size of the total moment	0.00	Bohr magnetons per cell
! symmetry	R-3m (166)
! raw total energy	-28.54	eV per cell
&SYSTEM
  ibrav = 0, nat = 7, ntyp = 4
/
ATOMIC_SPECIES
Li 6.94 Li.upf
Tb 158.93 Tb.upf
Y 88.91 Y.upf
In 114.82 In.upf
ATOMIC_POSITIONS angstrom
Li 0.000 0.000 2.774
Li 0.000 0.000 23.948
Tb 0.000 0.000 13.361
Y 0.000 0.000 9.962
Y 0.000 0.000 16.760
In 0.000 0.000 6.360
In 0.000 0.000 20.362
CELL_PARAMETERS angstrom
2.424 1.400 8.907
-2.424 1.400 8.907
0.000 -2.799 8.907


[2]
! LiTb3Zn2In3, optimized geometry, DFT PBE; values from VASP
! calculated formation energy	-0.422	eV/atom
! size of the total moment	0.00	Bohr magnetons per cell
! symmetry	P-62m (189)
! raw total energy	-30.36	eV per cell
&SYSTEM
  ibrav = 0, nat = 9, ntyp = 4
/
ATOMIC_SPECIES
Li 6.94 Li.upf
Tb 158.93 Tb.upf
Zn 65.41 Zn.upf
In 114.82 In.upf
ATOMIC_POSITIONS angstrom
Li 0.000 0.000 0.000
Tb -1.580 2.736 0.000
Tb 3.160 0.000 0.000
Tb 2.374 4.113 0.000
Zn 0.000 4.566 1.879
Zn 3.954 2.283 1.879
In -2.915 5.049 1.879
In 1.039 1.800 1.879
In 5.830 0.000 1.879
CELL_PARAMETERS angstrom
7.909 0.000 0.000
-3.954 6.849 0.000
0.000 0.000 3.757


[3]
! LiTbZnIn, optimized geometry, DFT PBE; values from VASP
! calculated formation energy	-0.334	eV/atom
! size of the total moment	0.00	Bohr magnetons per cell
! symmetry	F-43m (216)
! raw total energy	-11.89	eV per cell
&SYSTEM
  ibrav = 0, nat = 4, ntyp = 4
/
ATOMIC_SPECIES
Li 6.94 Li.upf
Tb 158.93 Tb.upf
Zn 65.41 Zn.upf
In 114.82 In.upf
ATOMIC_POSITIONS angstrom
Li 0.000 0.000 0.000
Tb 5.120 5.120 5.120
Zn 3.413 3.413 3.413
In 1.707 1.707 1.707
CELL_PARAMETERS angstrom
0.000 3.413 3.413
3.413 0.000 3.413
3.413 3.413 0.000


[4]
! LiTbZrIn, optimized geometry, DFT PBE; values from VASP
! calculated formation energy	-0.116	eV/atom
! size of the total moment	0.00	Bohr magnetons per cell
! symmetry	F-43m (216)
! raw total energy	-18.29	eV per cell
&SYSTEM
  ibrav = 0, nat = 4, ntyp = 4
/
ATOMIC_SPECIES
Li 6.94 Li.upf
Tb 158.93 Tb.upf
Zr 91.22 Zr.upf
In 114.82 In.upf
ATOMIC_POSITIONS angstrom
Li 0.000 0.000 0.000
Tb 5.403 5.403 5.403
Zr 1.801 1.801 1.801
In 3.602 3.602 3.602
CELL_PARAMETERS angstrom
0.000 3.602 3.602
3.602 0.000 3.602
3.602 3.602 0.000


[5]
! Li2InTc, optimized geometry, DFT PBE; values from VASP
! calculated formation energy	0.536	eV/atom
! size of the total moment	3.71	Bohr magnetons per cell
! symmetry	I-42d (122)
! raw total energy	-29.58	eV per cell
&SYSTEM
  ibrav = 0, nat = 8, ntyp = 3
/
ATOMIC_SPECIES
Li 6.94 Li.upf
In 114.82 In.upf
Tc 98.00 Tc.upf
ATOMIC_POSITIONS angstrom
Li 5.343 1.737 -0.677
Li 1.737 1.781 0.677
Li -1.781 1.825 2.032
Li 1.825 1.781 3.387
In 3.562 0.000 1.355
In 0.000 0.000 2.710
Tc 0.000 0.000 0.000
Tc 0.000 3.562 1.355
CELL_PARAMETERS angstrom
-3.562 3.562 2.710
3.562 -3.562 2.710
3.562 3.562 -2.710


[6]
! LiInTc, optimized geometry, DFT PBE; values from VASP
! calculated formation energy	0.700	eV/atom
! size of the total moment	1.87	Bohr magnetons per cell
! symmetry	F-43m (216)
! raw total energy	-12.92	eV per cell
! ΔE to the lowest computed polymorph	0.577	eV per atom
&SYSTEM
  ibrav = 0, nat = 3, ntyp = 3
/
ATOMIC_SPECIES
Li 6.94 Li.upf
In 114.82 In.upf
Tc 98.00 Tc.upf
ATOMIC_POSITIONS angstrom
Li 0.000 0.000 0.000
In 4.464 4.464 4.464
Tc 1.488 1.488 1.488
CELL_PARAMETERS angstrom
0.000 2.976 2.976
2.976 0.000 2.976
2.976 2.976 0.000


[7]
! Li2InTc, optimized geometry, DFT PBE; values from VASP
! calculated formation energy	0.340	eV/atom
! size of the total moment	1.71	Bohr magnetons per cell
! symmetry	P4/mmm (123)
! raw total energy	-15.57	eV per cell
&SYSTEM
  ibrav = 0, nat = 4, ntyp = 3
/
ATOMIC_SPECIES
Li 6.94 Li.upf
In 114.82 In.upf
Tc 98.00 Tc.upf
ATOMIC_POSITIONS angstrom
Li 0.000 0.000 1.367
Li 0.000 0.000 4.578
In 1.623 1.623 2.973
Tc 1.623 1.623 0.000
CELL_PARAMETERS angstrom
3.247 0.000 0.000
0.000 3.247 0.000
0.000 0.000 5.946


[8]
! Li2InTc, optimized geometry, DFT PBE; values from VASP
! calculated formation energy	0.209	eV/atom
! size of the total moment	0.00	Bohr magnetons per cell
! symmetry	Imm2 (44)
! raw total energy	-16.10	eV per cell
&SYSTEM
  ibrav = 0, nat = 4, ntyp = 3
/
ATOMIC_SPECIES
Li 6.94 Li.upf
In 114.82 In.upf
Tc 98.00 Tc.upf
ATOMIC_POSITIONS angstrom
Li 0.000 0.000 0.000
Li 0.000 2.315 2.541
In 0.000 0.000 4.857
Tc 1.424 0.000 2.336
CELL_PARAMETERS angstrom
-1.424 2.315 4.577
1.424 -2.315 4.577
1.424 2.315 -4.577


Look up the calculated formation energy of the fifth one. 0.536 eV/atom